[1]
Computed, not measured: an optimized crystal structure of YBr2F at the PBE level of DFT.

Cell lengths 4.866, 4.866, 9.525 Å; angles 75.20, 75.20, 90.00 degrees
Positions (direct):
Y  0.000  0.000  0.000
Y  0.750  0.250  0.500
Br  0.638  0.125  0.250
Br  0.112  0.625  0.250
Br  0.375  0.362  0.750
Br  0.875  0.888  0.750
F  0.500  0.500  0.000
F  0.250  0.750  0.500

Values from the calculation:
VASP energy   -35.822 eV/cell
Space-group type   I-42d (122)
Formation energy without anion corrections   -150 kJ/mol of atoms
Energy above the lowest structure with this stoichiometry   4.26 eV/f.u.

---

[2]
Computed, not measured: an optimized crystal structure of Th4SbAsP2 at the PBE level of DFT.

Cell lengths 4.229, 7.439, 7.369 Å; angles 70.89, 90.00, 90.00 degrees
Positions (direct):
Th  0.000  0.770  0.753
Th  0.000  0.230  0.247
Th  0.500  0.778  0.231
Th  0.500  0.222  0.769
Sb  0.000  0.500  0.500
As  0.500  0.500  0.000
P  0.000  0.000  0.000
P  0.500  0.000  0.500

Values from the calculation:
VASP energy   -59.986 eV/cell
Space-group type   P2/m (10)
Formation energy without anion corrections   -129 kJ/mol of atoms

---

[3]
Computed, not measured: an optimized crystal structure of SmHoPt at the PBE level of DFT.

Cell lengths 4.906, 4.906, 4.906 Å; angles 60.00, 60.00, 60.00 degrees
Positions (direct):
Sm  0.000  0.000  0.000
Ho  0.500  0.500  0.500
Pt  0.250  0.250  0.250

Values from the calculation:
E_form   -239 kJ/mol of formula units
VASP energy   -17.811 eV/cell
Space-group type   F-43m (216)
Energy above the lowest structure with this stoichiometry   0.22 eV/f.u.